VASP calculation (PBE) on a relaxed structure of SrYAl.

Calculated values
V: 31.70 Å³ per atom
Calculated density: 3.553 g/cm3
Space-group type: C2/m, No. 12
Calculated formation energy: -0.15 eV per atom
Energy: -4.110 eV/atom
N(E_F): 0.934 states/eV per atom
Energy above the most stable polymorph in this dataset: 0.064 eV/atom

a = 3.5936 Å, b = 7.6081 Å, c = 7.3772 Å
α = 76.48°, β = 90.01°, γ = 76.33°
Positions (direct):
Y 0.6099 0.3755 0.5440
Y 0.9118 0.7724 0.6834
Sr 0.6305 0.3347 0.0486
Sr 0.8915 0.8132 0.1789
Al 0.2601 0.0756 0.4269
Al 0.2619 0.0722 0.8006